20
Lattice="-6.594 0.917 1.719 -2.644 -6.806 -6.512 1.404 -5.898 8.533" Properties=species:S:1:pos:R:3 comment="CaPm3Ir PBE-GGA optimized geometry" e_above_lowest_polymorph_mev_per_atom=15 formation_energy_mev_per_atom=-269.8 vol_a3_per_cell=691.7 space_group="P2_1/c, No. 14" pbc="T T T"
Ca -3.490 -4.410 0.583
Ca -4.343 -7.378 3.157
Ca -7.320 -4.112 -0.516
Ca -0.513 -7.675 4.256
Pm -2.622 -8.253 -3.217
Pm -5.211 -3.535 6.957
Pm -3.787 -0.882 2.136
Pm -4.047 -10.906 1.604
Pm -0.981 -1.658 -0.511
Pm -6.853 -10.130 4.251
Pm -5.393 -7.482 -0.579
Pm -2.440 -4.306 4.319
Pm -4.476 -4.540 -3.183
Pm -3.357 -7.248 6.923
Pm -6.309 -3.986 3.243
Pm -1.525 -7.802 0.497
Ir -3.903 -5.306 8.768
Ir -3.931 -6.481 -5.028
Ir -3.364 -9.412 -0.726
Ir -4.470 -2.376 4.466